Er2Th2Rh15: relaxed, PBE-GGA.

Results
Volume in Å³/cell: 977.50
Theoretical density in Mg/m³: 11.94
Calculated total energy in eV/f.u.: -142.72
Energy relative to the elements in eV/atom: -0.4466

The structure in CIF format:
```
data_Er2Th2Rh15
_symmetry_space_group_name_H-M 'R -3 m'
_symmetry_Int_Tables_number 166
_symmetry_space_group_name_Hall '-R 3 2"'
_cell_length_a 9.0960
_cell_length_b 9.0960
_cell_length_c 13.6422
_cell_angle_alpha 90.00
_cell_angle_beta 90.00
_cell_angle_gamma 120.00
loop_
_atom_site_label
_atom_site_fract_x
_atom_site_fract_y
_atom_site_fract_z
Er1 0.0000 0.0000 0.1066
Th1 0.0000 0.0000 0.3574
Rh1 0.0000 0.3119 0.0000
Rh2 0.0000 0.5000 0.5000
Rh3 0.0069 0.5034 0.1552
```


Ce2DyOs: relaxed, PBE-GGA.

Results
Volume in Å³/cell: 102.47
Theoretical density in Mg/m³: 10.26
Energy relative to the lowest polymorph listed for this composition in eV per atom: 0.1795
Calculated total energy in eV/f.u.: -27.58
Energy relative to the elements in eV/atom: 0.0289

The structure in CIF format:
```
data_Ce2DyOs
_symmetry_space_group_name_H-M 'P 4/m m m'
_symmetry_Int_Tables_number 123
_symmetry_space_group_name_Hall '-P 4 2'
_cell_length_a 3.6006
_cell_length_b 3.6006
_cell_length_c 7.9043
_cell_angle_alpha 90.00
_cell_angle_beta 90.00
_cell_angle_gamma 90.00
loop_
_atom_site_label
_atom_site_fract_x
_atom_site_fract_y
_atom_site_fract_z
Ce1 0.0000 0.0000 0.1962
Dy1 0.5000 0.5000 0.5000
Os1 0.5000 0.5000 0.0000
```


NaTl2In2Hg5: relaxed, PBE-GGA.

Results
Volume in Å³/cell: 563.41
Theoretical density in Mg/m³: 9.81
Calculated total energy in eV/f.u.: -13.51
Energy relative to the elements in eV/atom: -0.0474

The structure in CIF format:
```
data_NaTl2In2Hg5
_symmetry_space_group_name_H-M 'P 4/m b m'
_symmetry_Int_Tables_number 127
_symmetry_space_group_name_Hall '-P 4 2ab'
_cell_length_a 11.5266
_cell_length_b 11.5266
_cell_length_c 4.2406
_cell_angle_alpha 90.00
_cell_angle_beta 90.00
_cell_angle_gamma 90.00
loop_
_atom_site_label
_atom_site_fract_x
_atom_site_fract_y
_atom_site_fract_z
Na1 0.0000 0.0000 0.0000
Tl1 0.1687 0.3313 0.0000
In1 0.1382 0.6382 0.0000
Hg1 0.0000 0.5000 0.5000
Hg2 0.0192 0.8006 0.5000
```


La3DyYEr: relaxed, PBE-GGA.

Results
Volume in Å³/cell: 411.26
Theoretical density in Mg/m³: 6.75
Calculated total energy in eV/f.u.: -30.21
Energy relative to the elements in eV/atom: 0.0332

The structure in CIF format:
```
data_La3DyYEr
_symmetry_space_group_name_H-M 'P 1 21/m 1'
_symmetry_Int_Tables_number 11
_cell_length_a 8.1003
_cell_length_b 5.1975
_cell_length_c 10.3139
_cell_angle_alpha 90.00
_cell_angle_beta 108.72
_cell_angle_gamma 90.00
loop_
_symmetry_equiv_pos_as_xyz
'x,y,z'
'-x,-y,-z'
'-x,y+1/2,-z'
'x,-y+1/2,z'
loop_
_atom_site_label
_atom_site_fract_x
_atom_site_fract_y
_atom_site_fract_z
La1 0.1684 0.2500 0.0426
La2 0.1690 0.2500 0.5415
La3 0.1742 0.7500 0.7938
Dy1 0.5004 0.2500 0.3778
Y1 0.1724 0.7500 0.2932
Er1 0.4964 0.7500 0.1266
```


LaTbHoAg: relaxed, PBE-GGA.

Results
Volume in Å³/cell: 116.78
Theoretical density in Mg/m³: 8.11
Energy relative to the lowest polymorph listed for this composition in eV per atom: 0.0000
Calculated total energy in eV/f.u.: -17.49
Energy relative to the elements in eV/atom: -0.1257

The structure in CIF format:
```
data_LaTbHoAg
_symmetry_space_group_name_H-M 'P 4 m m'
_symmetry_Int_Tables_number 99
_cell_length_a 3.6610
_cell_length_b 3.6610
_cell_length_c 8.7127
_cell_angle_alpha 90.00
_cell_angle_beta 90.00
_cell_angle_gamma 90.00
loop_
_symmetry_equiv_pos_as_xyz
'x,y,z'
'-y,x,z'
'-x,-y,z'
'y,-x,z'
'-x,y,z'
'y,x,z'
'x,-y,z'
'-y,-x,z'
loop_
_atom_site_label
_atom_site_fract_x
_atom_site_fract_y
_atom_site_fract_z
La1 0.0000 0.0000 0.0000
Tb1 0.5000 0.5000 0.7036
Ho1 0.5000 0.5000 0.2949
Ag1 0.0000 0.0000 0.4948
```


MnCoTc2: relaxed, PBE-GGA.

Results
Volume in Å³/cell: 51.46
Theoretical density in Mg/m³: 10.00
Energy relative to the lowest polymorph listed for this composition in eV per atom: 0.1024
Calculated total energy in eV/f.u.: -36.61
Energy relative to the elements in eV/atom: 0.1005

The structure in CIF format:
```
data_MnCoTc2
_symmetry_space_group_name_H-M 'P m m 2'
_symmetry_Int_Tables_number 25
_cell_length_a 2.6370
_cell_length_b 3.6981
_cell_length_c 5.2771
_cell_angle_alpha 90.00
_cell_angle_beta 90.00
_cell_angle_gamma 90.00
loop_
_symmetry_equiv_pos_as_xyz
'x,y,z'
'-x,-y,z'
'-x,y,z'
'x,-y,z'
loop_
_atom_site_label
_atom_site_fract_x
_atom_site_fract_y
_atom_site_fract_z
Mn1 0.0000 0.0000 0.0000
Co1 0.5000 0.5000 0.7677
Tc1 0.0000 0.0000 0.5314
Tc2 0.5000 0.5000 0.2480
```


SnHgN2F: relaxed, PBE-GGA.

Results
Formation energy without anion corrections in eV per atom: 0.4759
Volume in Å³/cell: 73.98
Theoretical density in Mg/m³: 8.22
Energy relative to the lowest polymorph listed for this composition in eV per atom: 0.0000
Calculated total energy in eV/f.u.: -20.45

The structure in CIF format:
```
data_SnHgN2F
_symmetry_space_group_name_H-M 'P 4/m m m'
_symmetry_Int_Tables_number 123
_symmetry_space_group_name_Hall '-P 4 2'
_cell_length_a 4.2018
_cell_length_b 4.2018
_cell_length_c 4.1904
_cell_angle_alpha 90.00
_cell_angle_beta 90.00
_cell_angle_gamma 90.00
loop_
_atom_site_label
_atom_site_fract_x
_atom_site_fract_y
_atom_site_fract_z
Sn1 0.0000 0.0000 0.0000
Hg1 0.5000 0.5000 0.5000
N1 0.0000 0.5000 0.0000
F1 0.0000 0.0000 0.5000
```


SiHg2PS: relaxed, PBE-GGA.

Results
Formation energy without anion corrections in eV per atom: 0.9635
Volume in Å³/cell: 120.94
Theoretical density in Mg/m³: 6.76
Calculated total energy in eV/f.u.: -10.75

The structure in CIF format:
```
data_SiHg2PS
_symmetry_space_group_name_H-M 'P 4/m m m'
_symmetry_Int_Tables_number 123
_symmetry_space_group_name_Hall '-P 4 2'
_cell_length_a 5.1732
_cell_length_b 5.1732
_cell_length_c 4.5191
_cell_angle_alpha 90.00
_cell_angle_beta 90.00
_cell_angle_gamma 90.00
loop_
_atom_site_label
_atom_site_fract_x
_atom_site_fract_y
_atom_site_fract_z
Si1 0.0000 0.0000 0.0000
Hg1 0.0000 0.5000 0.5000
P1 0.5000 0.5000 0.0000
S1 0.5000 0.5000 0.5000
```


Cr2HOsRu: relaxed, PBE-GGA.

Results
Volume in Å³/cell: 54.02
Theoretical density in Mg/m³: 12.18
Energy relative to the lowest polymorph listed for this composition in eV per atom: 0.0000
Calculated total energy in eV/f.u.: -42.70

The structure in CIF format:
```
data_Cr2HOsRu
_symmetry_space_group_name_H-M 'P 4/m m m'
_symmetry_Int_Tables_number 123
_symmetry_space_group_name_Hall '-P 4 2'
_cell_length_a 3.8022
_cell_length_b 3.8022
_cell_length_c 3.7366
_cell_angle_alpha 90.00
_cell_angle_beta 90.00
_cell_angle_gamma 90.00
loop_
_atom_site_label
_atom_site_fract_x
_atom_site_fract_y
_atom_site_fract_z
Cr1 0.0000 0.5000 0.0000
H1 0.0000 0.0000 0.0000
Os1 0.5000 0.5000 0.5000
Ru1 0.0000 0.0000 0.5000
```


K2PuNpTe4: relaxed, PBE-GGA.

Results
Formation energy without anion corrections in eV per atom: -0.9863
Volume in Å³/cell: 299.17
Theoretical density in Mg/m³: 5.94
Calculated total energy in eV/f.u.: -49.92

The structure in CIF format:
```
data_K2PuNpTe4
_symmetry_space_group_name_H-M 'P 1 2/m 1'
_symmetry_Int_Tables_number 10
_cell_length_a 7.8320
_cell_length_b 4.5241
_cell_length_c 8.4435
_cell_angle_alpha 90.00
_cell_angle_beta 90.08
_cell_angle_gamma 90.00
loop_
_symmetry_equiv_pos_as_xyz
'x,y,z'
'-x,-y,-z'
'-x,y,-z'
'x,-y,z'
loop_
_atom_site_label
_atom_site_fract_x
_atom_site_fract_y
_atom_site_fract_z
K1 0.0000 0.0000 0.0000
K2 0.5000 0.5000 0.0000
Pu1 0.0000 0.0000 0.5000
Np1 0.5000 0.5000 0.5000
Te1 0.1689 0.5000 0.2922
Te2 0.3361 0.0000 0.7072
```


CaH2Pd4: relaxed, PBE-GGA.

Results
Volume in Å³/cell: 230.72
Theoretical density in Mg/m³: 6.73
Energy relative to the lowest polymorph listed for this composition in eV per atom: 0.7959
Calculated total energy in eV/f.u.: -25.90

The structure in CIF format:
```
data_CaH2Pd4
_symmetry_space_group_name_H-M 'I 4/m m m'
_symmetry_Int_Tables_number 139
_symmetry_space_group_name_Hall '-I 4 2'
_cell_length_a 4.8843
_cell_length_b 4.8843
_cell_length_c 9.6709
_cell_angle_alpha 90.00
_cell_angle_beta 90.00
_cell_angle_gamma 90.00
loop_
_atom_site_label
_atom_site_fract_x
_atom_site_fract_y
_atom_site_fract_z
Ca1 0.0000 0.0000 0.0000
H1 0.0000 0.0000 0.4485
Pd1 0.0000 0.0000 0.2861
Pd2 0.0000 0.5000 0.0000
```


PRhWCl2: relaxed, PBE-GGA.

Results
Formation energy without anion corrections in eV per atom: 1.1346
Volume in Å³/cell: 102.99
Theoretical density in Mg/m³: 6.27
Energy relative to the lowest polymorph listed for this composition in eV per atom: 0.3247
Calculated total energy in eV/f.u.: -23.73

The structure in CIF format:
```
data_PRhWCl2
_symmetry_space_group_name_H-M 'P 4/m m m'
_symmetry_Int_Tables_number 123
_symmetry_space_group_name_Hall '-P 4 2'
_cell_length_a 4.6479
_cell_length_b 4.6479
_cell_length_c 4.7673
_cell_angle_alpha 90.00
_cell_angle_beta 90.00
_cell_angle_gamma 90.00
loop_
_atom_site_label
_atom_site_fract_x
_atom_site_fract_y
_atom_site_fract_z
P1 0.0000 0.0000 0.0000
Rh1 0.0000 0.0000 0.5000
W1 0.5000 0.5000 0.0000
Cl1 0.0000 0.5000 0.5000
```